First-principles (PBE) data for crystalline Ta3Pd2Pt3 at its relaxed geometry, as listed in Alexandria via LeMat-Bulk.

Results
crystal system: monoclinic
formation energy: -336.3 kJ/mol of formula units
symmetry: No. 12

a = 4.5743 Å, b = 4.8501 Å, c = 6.7963 Å
α = 110.45°, β = 109.66°, γ = 90.00°
Fractional positions:
Pd: 0.2514 0.3239 0.5026
Pd: 0.7486 0.6761 0.4974
Ta: 0.1371 0.7047 0.2743
Ta: 0.0000 0.0000 0.0000
Ta: 0.8629 0.2953 0.7257
Pt: 0.5000 0.5000 0.0000
Pt: 0.3700 0.9231 0.7400
Pt: 0.6300 0.0769 0.2600